Material: CaPuHgPt
Method: DFT, GGA-PBE
State: optimized geometry

abc: 3.5702 3.5702 7.6241
angles: 90.00 90.00 90.00
Each line ends with the local moment (μB).
Fractional coordinates of all 4 atoms:
Ca 0.0000 0.0000 0.3776  0.01
Pu 0.0000 0.0000 0.8255  5.28
Hg 0.5000 0.5000 0.1054  0.01
Pt 0.5000 0.5000 0.6195  -0.04

The density of states at the Fermi level is 10.85 states/eV per cell. The calculation puts the total energy at -25.02 eV/f.u. The calculated formation energy is -0.587 eV/atom. The calculation puts the distance to the lowest polymorph of the same formula at 0.000 eV/atom.